(1)
DFT (PBE) results for Mg2Co5CuB2 after structural relaxation. Values from VASP.

The structure in Quantum ESPRESSO input format:
```
&SYSTEM
  ibrav = 0, nat = 20, ntyp = 4
/
ATOMIC_SPECIES
Cu 63.55 Cu.upf
Mg 24.30 Mg.upf
Co 58.93 Co.upf
B 10.81 B.upf
CELL_PARAMETERS angstrom
2.774 0.000 0.000
0.000 8.813 0.000
0.000 0.000 8.813
ATOMIC_POSITIONS angstrom
Cu 0.000 0.000 0.000
Mg 0.000 7.251 5.968
Co 1.387 3.805 2.454
Co 1.387 0.601 6.861
Co 1.387 5.008 6.359
B 0.000 3.315 1.091
B 0.000 7.722 3.315
Cu 0.000 4.407 4.407
Co 1.387 2.454 5.008
Mg 0.000 2.845 7.251
B 0.000 5.498 7.722
Mg 0.000 1.562 2.845
Co 1.387 0.000 4.407
Co 1.387 6.861 8.212
Mg 0.000 5.968 1.562
Co 1.387 4.407 0.000
Co 1.387 1.952 0.601
Co 1.387 8.212 1.952
B 0.000 1.091 5.498
Co 1.387 6.359 3.805
```

Computed properties:
The crystal system is tetragonal. The volume comes out at 10.772 Å³/atom. The magnetization is 0.00 μB/cell. The symmetry is No. 127.

(2)
DFT (PBE) results for Rb2Tl3Pt after structural relaxation. Values from VASP.

The structure in Quantum ESPRESSO input format:
```
&SYSTEM
  ibrav = 0, nat = 12, ntyp = 3
/
ATOMIC_SPECIES
Rb 85.47 Rb.upf
Tl 204.38 Tl.upf
Pt 195.08 Pt.upf
CELL_PARAMETERS angstrom
-3.304 1.800 -5.991
-4.483 -5.347 1.164
-1.665 7.473 7.191
ATOMIC_POSITIONS angstrom
Rb -4.221 -3.759 -0.426
Tl -7.543 1.969 0.723
Tl -6.505 -1.526 -2.597
Tl -6.229 3.956 2.925
Rb -5.021 0.176 2.970
Pt -3.540 3.630 3.042
Tl -3.222 -0.031 -0.562
Pt -5.912 0.296 -0.679
Tl -2.946 5.452 4.961
Tl -1.909 1.957 1.640
Rb -4.431 3.750 -0.607
Rb -3.566 0.212 -4.401
```

Computed properties:
The crystal system is orthorhombic. The volume comes out at 38.693 Å³/atom. The magnetization is 0.00 μB/cell. The symmetry is No. 69.

Number 1: formation energy -143 meV per atom, energy -115.20 eV/cell. Number 2: formation energy -56 meV per atom, energy -30.82 eV/cell.